(1)
ZrMnFe2H: optimized geometry, PBE.

Results
uncorrected energy: -7.6157 eV per atom
magnetization: 5.6 Bohr magnetons per cell

a b c (Å): 4.0619 4.0619 3.5123
angles (deg): 90.00 90.00 90.00
Last column: nearest neighbours and their distance in Å.
Sites, in units of the cell vectors:
H: 0.0000 0.0000 0.0000  2 Mn 1.76
Mn: 0.0000 0.0000 0.5000  2 H 1.76
Fe: 0.0000 0.5000 0.0000  2 H 2.03
Fe: 0.5000 0.0000 0.0000  2 H 2.03
Zr: 0.5000 0.5000 0.5000  8 Fe 2.68, 4 Mn 2.87


(2)
Fe2MoH2: optimized geometry, PBE.

Results
uncorrected energy: -6.5395 eV per atom
magnetization: 0.0 Bohr magnetons per cell

a b c (Å): 3.7638 3.7638 4.1843
angles (deg): 63.27 63.27 90.00
Last column: nearest neighbours and their distance in Å.
Sites, in units of the cell vectors:
H: 0.3016 0.3016 0.3968  4 Fe 1.91, 1 Mo 1.95
H: 0.6984 0.6984 0.6032  4 Fe 1.91, 1 Mo 1.95
Mo: 0.0000 0.0000 0.0000  2 H 1.95
Fe: 0.7500 0.2500 0.5000  4 H 1.91
Fe: 0.2500 0.7500 0.5000  4 H 1.91


(3)
FeMo2H: optimized geometry, PBE.

Results
uncorrected energy: -7.5948 eV per atom
magnetization: 0.0 Bohr magnetons per cell

a b c (Å): 4.4629 4.4629 6.2123
angles (deg): 68.95 68.95 90.00
Last column: nearest neighbours and their distance in Å.
Sites, in units of the cell vectors:
H: 0.5000 0.5000 0.0000  4 Mo 1.87
H: 0.2500 0.7500 0.5000  4 Mo 1.87
Mo: 0.5259 0.1250 0.2500  2 H 1.87
Mo: 0.2241 0.6250 0.2500  2 H 1.87
Mo: 0.3750 0.4741 0.7500  2 H 1.87
Mo: 0.8750 0.7759 0.7500  2 H 1.87
Fe: 0.0000 0.0000 0.0000  4 Mo 2.34
Fe: 0.7500 0.2500 0.5000  4 Mo 2.34


(4)
Fe3MoH4: optimized geometry, PBE.

Results
uncorrected energy: -6.1597 eV per atom
magnetization: 2.7 Bohr magnetons per cell

a b c (Å): 3.8188 3.8188 4.6548
angles (deg): 114.22 114.22 90.00
Last column: nearest neighbours and their distance in Å.
Sites, in units of the cell vectors:
Fe: 0.5000 0.5000 0.0000  6 H 1.79-1.91
Fe: 0.7500 0.2500 0.5000  6 H 1.90-1.91
Fe: 0.2500 0.7500 0.5000  6 H 1.90-1.91
Mo: 0.0000 0.0000 0.0000  6 H 1.91-2.00
H: 0.0000 0.5000 0.0000  4 Fe 1.90-1.91, 2 Mo 1.91
H: 0.5000 0.0000 0.0000  4 Fe 1.90-1.91, 2 Mo 1.91
H: 0.2636 0.2636 0.5272  5 Fe 1.79-1.91, 1 Mo 2.00
H: 0.7364 0.7364 0.4728  5 Fe 1.79-1.91, 1 Mo 2.00


(5)
FeMoH2: optimized geometry, PBE.

Results
uncorrected energy: -6.3709 eV per atom
magnetization: 3.8 Bohr magnetons per cell

a b c (Å): 4.0428 4.0428 4.9775
angles (deg): 66.04 66.04 90.00
Last column: nearest neighbours and their distance in Å.
Sites, in units of the cell vectors:
H: 0.5831 0.1250 0.2500  2 Fe 1.66, 2 Mo 1.86
H: 0.1669 0.6250 0.2500  2 Fe 1.66, 2 Mo 1.86
H: 0.3750 0.4169 0.7500  2 Fe 1.66, 2 Mo 1.86
H: 0.8750 0.8331 0.7500  2 Fe 1.66, 2 Mo 1.86
Mo: 0.0000 0.0000 0.0000  4 H 1.86
Mo: 0.7500 0.2500 0.5000  4 H 1.86
Fe: 0.5000 0.5000 0.0000  4 H 1.66
Fe: 0.2500 0.7500 0.5000  4 H 1.66


(6)
FeMoH3: optimized geometry, PBE.

Results
uncorrected energy: -5.4059 eV per atom
magnetization: 3.6 Bohr magnetons per cell

a b c (Å): 3.4657 3.4657 3.4657
angles (deg): 90.00 90.00 90.00
Last column: nearest neighbours and their distance in Å.
Sites, in units of the cell vectors:
H: 0.0000 0.5000 0.0000  2 Mo 1.73
H: 0.0000 0.0000 0.5000  2 Mo 1.73
H: 0.5000 0.0000 0.0000  2 Mo 1.73
Mo: 0.0000 0.0000 0.0000  6 H 1.73
Fe: 0.5000 0.5000 0.5000  12 H 2.45


(7)
FeMo2H: optimized geometry, PBE.

Results
uncorrected energy: -7.6360 eV per atom
magnetization: 0.0 Bohr magnetons per cell

a b c (Å): 3.4910 3.4910 6.2033
angles (deg): 73.66 73.66 60.00
Last column: nearest neighbours and their distance in Å.
Sites, in units of the cell vectors:
H: 0.0000 0.0000 0.0000  2 Mo 1.77
Mo: 0.1008 0.1008 0.6977  1 H 1.77
Mo: 0.8992 0.8992 0.3023  1 H 1.77
Fe: 0.5000 0.5000 0.5000  6 Mo 2.33


(8)
FeMoH2: optimized geometry, PBE.

Results
uncorrected energy: -6.4948 eV per atom
magnetization: 5.3 Bohr magnetons per cell

a b c (Å): 4.5038 4.8912 5.5644
angles (deg): 90.00 89.99 90.00
Last column: nearest neighbours and their distance in Å.
Sites, in units of the cell vectors:
Fe: 0.2501 0.4154 0.1177  6 H 1.82-2.00
Fe: 0.2499 0.9154 0.8823  6 H 1.82-2.00
Fe: 0.7501 0.0846 0.1177  6 H 1.82-2.00
Fe: 0.7499 0.5846 0.8823  6 H 1.82-2.00
Mo: 0.7500 0.0842 0.6327  6 H 1.99-2.08
Mo: 0.2500 0.4158 0.6327  6 H 1.99-2.08
Mo: 0.2500 0.9158 0.3673  6 H 1.99-2.08
Mo: 0.7500 0.5842 0.3673  6 H 1.99-2.08
H: 0.4980 0.7479 0.0956  4 Fe 1.82-2.00
H: 0.9980 0.7521 0.0956  4 Fe 1.82-2.00
H: 0.0002 0.2502 0.3552  2 Fe 1.91-1.92, 4 Mo 1.99-2.08
H: 0.0020 0.2479 0.9044  4 Fe 1.82-2.00
H: 0.9998 0.7498 0.6448  2 Fe 1.91-1.92, 4 Mo 1.99-2.08
H: 0.4998 0.7502 0.6448  2 Fe 1.91-1.92, 4 Mo 1.99-2.08
H: 0.5020 0.2521 0.9044  4 Fe 1.82-2.00
H: 0.5002 0.2498 0.3552  2 Fe 1.91-1.92, 4 Mo 1.99-2.08


(9)
FeMoH2: optimized geometry, PBE.

Results
uncorrected energy: -6.2791 eV per atom
magnetization: 1.5 Bohr magnetons per cell

a b c (Å): 2.7648 2.7648 5.0888
angles (deg): 74.24 74.24 60.00
Last column: nearest neighbours and their distance in Å.
Sites, in units of the cell vectors:
Fe: 0.6729 0.6729 0.9813  6 H 1.83-1.92
Mo: 0.4943 0.4943 0.5171  6 H 2.10-2.20
H: 0.0674 0.0674 0.7979  3 Fe 1.83
H: 0.2655 0.2655 0.2036  3 Fe 1.92


(10)
FeMoH2: optimized geometry, PBE.

Results
uncorrected energy: -6.2857 eV per atom
magnetization: 2.5 Bohr magnetons per cell

a b c (Å): 2.9301 2.9301 5.1007
angles (deg): 73.31 73.31 60.00
Last column: nearest neighbours and their distance in Å.
Sites, in units of the cell vectors:
H: 0.1143 0.1143 0.6570  1 Fe 1.65
H: 0.8857 0.8857 0.3430  1 Fe 1.65
Mo: 0.5000 0.5000 0.5000  6 H 1.85
Fe: 0.0000 0.0000 0.0000  2 H 1.65


(11)
FeMoH2: optimized geometry, PBE.

Results
uncorrected energy: -5.9416 eV per atom
magnetization: 1.7 Bohr magnetons per cell

a b c (Å): 3.6053 3.6053 3.6053
angles (deg): 60.00 60.00 60.00
Last column: nearest neighbours and their distance in Å.
Sites, in units of the cell vectors:
H: 0.2500 0.2500 0.2500  4 Mo 2.21, 4 Fe 2.21
H: 0.7500 0.7500 0.7500  4 Mo 2.21, 4 Fe 2.21
Mo: 0.5000 0.5000 0.5000  8 H 2.21
Fe: 0.0000 0.0000 0.0000  8 H 2.21


(12)
FeMoH: optimized geometry, PBE.

Results
uncorrected energy: -7.4882 eV per atom
magnetization: 0.0 Bohr magnetons per cell

a b c (Å): 2.7337 4.6649 4.6928
angles (deg): 100.09 106.93 90.00
Last column: nearest neighbours and their distance in Å.
Sites, in units of the cell vectors:
Fe: 0.6223 0.8677 0.2446  3 H 1.81-1.91
Fe: 0.3777 0.1323 0.7554  3 H 1.81-1.91
Mo: 0.8887 0.6559 0.7774  3 H 2.08-2.11
Mo: 0.1113 0.3441 0.2226  3 H 2.08-2.11
H: 0.2366 0.7734 0.4733  3 Fe 1.81-1.91
H: 0.7634 0.2266 0.5267  3 Fe 1.81-1.91


(13)
FeMo2H: optimized geometry, PBE.

Results
uncorrected energy: -7.7812 eV per atom
magnetization: 0.3 Bohr magnetons per cell

a b c (Å): 4.0732 4.0732 4.0732
angles (deg): 60.00 60.00 60.00
Last column: nearest neighbours and their distance in Å.
Sites, in units of the cell vectors:
H: 0.0000 0.0000 0.0000  8 Mo 2.49
Mo: 0.2500 0.2500 0.2500  4 Fe 2.49, 4 H 2.49
Mo: 0.7500 0.7500 0.7500  4 H 2.49, 4 Fe 2.49
Fe: 0.5000 0.5000 0.5000  8 Mo 2.49


(14)
Fe2MoH2: optimized geometry, PBE.

Results
uncorrected energy: -6.5695 eV per atom
magnetization: 2.1 Bohr magnetons per cell

a b c (Å): 5.7185 5.7185 2.7016
angles (deg): 90.00 90.00 90.00
Last column: nearest neighbours and their distance in Å.
Sites, in units of the cell vectors:
H: 0.2707 0.7707 0.0000  2 Fe 1.73
H: 0.7707 0.7293 0.0000  2 Fe 1.73
H: 0.7293 0.2293 0.0000  2 Fe 1.73
H: 0.2293 0.2707 0.0000  2 Fe 1.73
Mo: 0.0000 0.0000 0.0000  4 H 2.03
Mo: 0.5000 0.5000 0.0000  4 H 2.03
Fe: 0.1361 0.6361 0.5000  2 H 1.73
Fe: 0.6361 0.8639 0.5000  2 H 1.73
Fe: 0.8639 0.3639 0.5000  2 H 1.73
Fe: 0.3639 0.1361 0.5000  2 H 1.73


(15)
Fe5Mo3H12: optimized geometry, PBE.

Results
uncorrected energy: -5.6008 eV per atom
magnetization: 47.7 Bohr magnetons per cell

a b c (Å): 9.0506 9.0506 9.0506
angles (deg): 109.47 109.47 109.47
Last column: nearest neighbours and their distance in Å.
Sites, in units of the cell vectors:
Mo: 0.7500 0.3750 0.1250  8 H 1.94-1.96
Mo: 0.8750 0.7500 0.1250  8 H 1.94-1.96
Mo: 0.3750 0.7500 0.6250  8 H 1.94-1.96
Mo: 0.2500 0.1250 0.3750  8 H 1.94-1.96
Mo: 0.8750 0.1250 0.2500  8 H 1.94-1.96
Mo: 0.3750 0.6250 0.2500  8 H 1.94-1.96
Mo: 0.6250 0.3750 0.7500  8 H 1.94-1.96
Mo: 0.1250 0.8750 0.7500  8 H 1.94-1.96
Mo: 0.7500 0.8750 0.6250  8 H 1.94-1.96
Mo: 0.6250 0.2500 0.3750  8 H 1.94-1.96
Mo: 0.1250 0.2500 0.8750  8 H 1.94-1.96
Mo: 0.2500 0.6250 0.8750  8 H 1.94-1.96
Fe: 0.1250 0.3750 0.2500  4 H 1.70
Fe: 0.0000 0.5000 0.0000  6 H 1.70
Fe: 0.0000 0.0000 0.0000  6 H 1.70
Fe: 0.3750 0.2500 0.1250  4 H 1.70
Fe: 0.5000 0.0000 0.5000  6 H 1.70
Fe: 0.5000 0.5000 0.0000  6 H 1.70
Fe: 0.1250 0.7500 0.3750  4 H 1.70
Fe: 0.7500 0.1250 0.8750  4 H 1.70
Fe: 0.7500 0.6250 0.3750  4 H 1.70
Fe: 0.3750 0.1250 0.7500  4 H 1.70
Fe: 0.6250 0.8750 0.2500  4 H 1.70
Fe: 0.5000 0.5000 0.5000  6 H 1.70
Fe: 0.5000 0.0000 0.0000  6 H 1.70
Fe: 0.0000 0.0000 0.5000  6 H 1.70
Fe: 0.2500 0.3750 0.6250  4 H 1.70
Fe: 0.2500 0.8750 0.1250  4 H 1.70
Fe: 0.0000 0.5000 0.5000  6 H 1.70
Fe: 0.8750 0.2500 0.6250  4 H 1.70
Fe: 0.6250 0.7500 0.8750  4 H 1.70
Fe: 0.8750 0.6250 0.7500  4 H 1.70
H: 0.7141 0.1308 0.0495  2 Fe 1.70
H: 0.3354 0.5495 0.4187  2 Fe 1.70
H: 0.9505 0.3692 0.2859  2 Fe 1.70
H: 0.5495 0.2141 0.1308  2 Fe 1.70
H: 0.5833 0.7141 0.6646  2 Fe 1.70
H: 0.9505 0.5813 0.1646  2 Fe 1.70
H: 0.3354 0.7859 0.4167  2 Fe 1.70
H: 0.0813 0.9167 0.1308  2 Fe 1.70
H: 0.5813 0.9505 0.6646  2 Fe 1.70
H: 0.7141 0.5833 0.1646  2 Fe 1.70
H: 0.7859 0.4505 0.3692  2 Fe 1.70
H: 0.8354 0.9187 0.0495  2 Fe 1.70
H: 0.1308 0.7141 0.5495  2 Fe 1.70
H: 0.3692 0.4187 0.0833  2 Fe 1.70
H: 0.0833 0.9187 0.3692  2 Fe 1.70
H: 0.4167 0.1308 0.5813  2 Fe 1.70
H: 0.0833 0.1646 0.2141  2 Fe 1.70
H: 0.4505 0.6646 0.0813  2 Fe 1.70
H: 0.8354 0.9167 0.2859  2 Fe 1.70
H: 0.1308 0.4167 0.0813  2 Fe 1.70
H: 0.3692 0.9505 0.7859  2 Fe 1.70
H: 0.5813 0.6308 0.4167  2 Fe 1.70
H: 0.9187 0.8354 0.5495  2 Fe 1.70
H: 0.7859 0.3354 0.9167  2 Fe 1.70
H: 0.4187 0.3692 0.5833  2 Fe 1.70
H: 0.0813 0.1646 0.4505  2 Fe 1.70
H: 0.2141 0.6646 0.0833  2 Fe 1.70
H: 0.1646 0.0833 0.7141  2 Fe 1.70
H: 0.6308 0.0495 0.2141  2 Fe 1.70
H: 0.8692 0.5833 0.9187  2 Fe 1.70
H: 0.5495 0.3354 0.9187  2 Fe 1.70
H: 0.5833 0.8692 0.4187  2 Fe 1.70
H: 0.9167 0.8354 0.7859  2 Fe 1.70
H: 0.9167 0.0813 0.6308  2 Fe 1.70
H: 0.8692 0.2859 0.4505  2 Fe 1.70
H: 0.1646 0.0813 0.9505  2 Fe 1.70
H: 0.6308 0.5813 0.9167  2 Fe 1.70
H: 0.4187 0.0495 0.3354  2 Fe 1.70
H: 0.2859 0.4167 0.8354  2 Fe 1.70
H: 0.2141 0.5495 0.6308  2 Fe 1.70
H: 0.9187 0.0833 0.8692  2 Fe 1.70
H: 0.6646 0.2141 0.5833  2 Fe 1.70
H: 0.4505 0.7859 0.8692  2 Fe 1.70
H: 0.0495 0.4187 0.8354  2 Fe 1.70
H: 0.4167 0.2859 0.3354  2 Fe 1.70
H: 0.0495 0.6308 0.7141  2 Fe 1.70
H: 0.6646 0.4505 0.5813  2 Fe 1.70
H: 0.2859 0.8692 0.9505  2 Fe 1.70


(16)
Fe2MoH3: optimized geometry, PBE.

Results
uncorrected energy: -6.2510 eV per atom
magnetization: 7.8 Bohr magnetons per cell

a b c (Å): 3.8570 5.4886 8.1576
angles (deg): 90.00 90.00 90.00
Last column: nearest neighbours and their distance in Å.
Sites, in units of the cell vectors:
Fe: 0.2500 0.8731 0.7520  5 H 1.85-1.98
Fe: 0.2500 0.3731 0.7480  5 H 1.85-1.98
Fe: 0.2500 0.8818 0.4156  6 H 1.80-1.99
Fe: 0.2500 0.3818 0.0844  6 H 1.80-1.99
Fe: 0.7500 0.6182 0.9156  6 H 1.80-1.99
Fe: 0.7500 0.1182 0.5844  6 H 1.80-1.99
Fe: 0.7500 0.6269 0.2520  5 H 1.85-1.98
Fe: 0.7500 0.1269 0.2480  5 H 1.85-1.98
Mo: 0.2500 0.8700 0.0812  6 H 1.93-2.03
Mo: 0.2500 0.3700 0.4188  6 H 1.93-2.03
Mo: 0.7500 0.6300 0.5812  6 H 1.93-2.03
Mo: 0.7500 0.1300 0.9188  6 H 1.93-2.03
H: 0.2500 0.6563 0.5755  2 Fe 1.80-1.87, 2 Mo 1.93
H: 0.2500 0.1563 0.9245  2 Fe 1.80-1.87, 2 Mo 1.93
H: 0.2498 0.6039 0.9130  5 Fe 1.85-1.98, 1 Mo 2.00
H: 0.2498 0.1039 0.5870  5 Fe 1.85-1.98, 1 Mo 2.00
H: 0.2502 0.6168 0.2486  4 Fe 1.86-1.99, 2 Mo 1.94-1.95
H: 0.2502 0.1168 0.2514  4 Fe 1.86-1.99, 2 Mo 1.94-1.95
H: 0.7498 0.8832 0.7486  4 Fe 1.86-1.99, 2 Mo 1.94-1.95
H: 0.7498 0.3832 0.7514  4 Fe 1.86-1.99, 2 Mo 1.94-1.95
H: 0.7502 0.8961 0.4130  5 Fe 1.85-1.98, 1 Mo 2.00
H: 0.7502 0.3961 0.0870  5 Fe 1.85-1.98, 1 Mo 2.00
H: 0.7500 0.8437 0.0755  2 Fe 1.80-1.87, 2 Mo 1.93
H: 0.7500 0.3437 0.4245  2 Fe 1.80-1.87, 2 Mo 1.93


(17)
FeMoH3: optimized geometry, PBE.

Results
uncorrected energy: -5.6563 eV per atom
magnetization: 0.4 Bohr magnetons per cell

a b c (Å): 3.2249 3.2249 3.2249
angles (deg): 90.00 90.00 90.00
Last column: nearest neighbours and their distance in Å.
Sites, in units of the cell vectors:
H: 0.0000 0.5000 0.0000  2 Fe 1.61
H: 0.0000 0.0000 0.5000  2 Fe 1.61
H: 0.5000 0.0000 0.0000  2 Fe 1.61
Mo: 0.5000 0.5000 0.5000  12 H 2.28
Fe: 0.0000 0.0000 0.0000  6 H 1.61


(18)
NbFe2MoH: optimized geometry, PBE.

Results
uncorrected energy: -8.1545 eV per atom
magnetization: 2.0 Bohr magnetons per cell

a b c (Å): 3.7941 3.7941 3.9822
angles (deg): 90.00 90.00 90.00
Last column: nearest neighbours and their distance in Å.
Sites, in units of the cell vectors:
H: 0.0000 0.0000 0.0000  4 Fe 1.90, 2 Mo 1.99
Mo: 0.0000 0.0000 0.5000  2 H 1.99
Nb: 0.5000 0.5000 0.5000  4 Mo 2.68, 8 Fe 2.75
Fe: 0.0000 0.5000 0.0000  2 H 1.90
Fe: 0.5000 0.0000 0.0000  2 H 1.90


(19)
NbFeMo2H: optimized geometry, PBE.

Results
uncorrected energy: -8.6448 eV per atom
magnetization: 2.3 Bohr magnetons per cell

a b c (Å): 4.3406 4.3406 3.3775
angles (deg): 90.00 90.00 90.00
Last column: nearest neighbours and their distance in Å.
Sites, in units of the cell vectors:
H: 0.0000 0.0000 0.0000  2 Fe 1.69
Mo: 0.0000 0.5000 0.0000  2 H 2.17
Mo: 0.5000 0.0000 0.0000  2 H 2.17
Nb: 0.5000 0.5000 0.5000  8 Mo 2.75, 4 Fe 3.07
Fe: 0.0000 0.0000 0.5000  2 H 1.69


(20)
NbFe2MoH: optimized geometry, PBE.

Results
uncorrected energy: -8.1493 eV per atom
magnetization: 1.9 Bohr magnetons per cell

a b c (Å): 3.7810 3.7810 4.0091
angles (deg): 90.00 90.00 90.00
Last column: nearest neighbours and their distance in Å.
Sites, in units of the cell vectors:
H: 0.0000 0.0000 0.0000  4 Fe 1.89, 2 Nb 2.00
Mo: 0.5000 0.5000 0.5000  4 Nb 2.67, 8 Fe 2.76
Nb: 0.0000 0.0000 0.5000  2 H 2.00
Fe: 0.0000 0.5000 0.0000  2 H 1.89
Fe: 0.5000 0.0000 0.0000  2 H 1.89